[1]
Here is K2VPCO7 after structural relaxation from Alexandria. Energies are from GGA-PBEsol.

Cell lengths 5.5468, 6.6104, 9.6256 Å; angles 90.00, 90.87, 90.00 degrees
Closest atoms and distances in Å follow each position.
Sites, in units of the cell vectors:
O 0.8969 0.2500 0.4401  1 P 1.55
K 0.7500 0.9774 0.2417  4 O 2.51-2.74
O 0.9445 0.7500 0.8321  1 C 1.32
O 0.0555 0.2500 0.1679  1 C 1.32
O 0.2846 0.2500 0.9745  1 C 1.24
O 0.4577 0.2500 0.5160  1 P 1.56
V 0.2235 0.2500 0.3571  6 O 1.99-2.04
O 0.7715 0.0581 0.6551  1 P 1.55
O 0.5546 0.7500 0.8075  1 C 1.32
O 0.7154 0.7500 0.0255  1 C 1.24
O 0.2285 0.9419 0.3449  1 P 1.55
O 0.4454 0.2500 0.1925  1 C 1.32
C 0.7378 0.7500 0.8972  3 O 1.24-1.32
O 0.7715 0.4419 0.6551  1 P 1.55
K 0.2500 0.0226 0.7583  4 O 2.51-2.74
V 0.7765 0.7500 0.6429  6 O 1.99-2.04
O 0.2285 0.5581 0.3449  1 P 1.55
O 0.5423 0.7500 0.4840  1 P 1.56
K 0.7500 0.5226 0.2417  4 O 2.51-2.74
P 0.2743 0.7500 0.4338  4 O 1.55-1.56
K 0.2500 0.4774 0.7583  4 O 2.51-2.74
O 0.1031 0.7500 0.5599  1 P 1.55
P 0.7257 0.2500 0.5662  4 O 1.55-1.56
C 0.2622 0.2500 0.1028  3 O 1.24-1.32

Properties
V   14.704 A^3/atom
Energy   -7.3699 eV/atom
Formation energy from raw total energies   -2.030 eV/atom
Magnetization   0.17 μB/atom
SG   P2_1/m (11)


[2]
Here is K3VPCO7 after structural relaxation from Alexandria. Energies are from GGA-PBEsol.

Cell lengths 5.5782, 6.7740, 9.4945 Å; angles 90.00, 90.00, 90.00 degrees
Closest atoms and distances in Å follow each position.
Sites, in units of the cell vectors:
P 0.2507 0.2500 0.9145  4 O 1.55-1.56
O 0.0239 0.2500 0.0079  1 P 1.55
K 0.7498 0.0093 0.8009  9 O 2.82-2.98
P 0.7493 0.7500 0.0855  4 O 1.55-1.56
O 0.2506 0.7500 0.4408  1 C 1.28
O 0.4482 0.7500 0.6500  1 C 1.31
C 0.2503 0.7500 0.5755  3 O 1.28-1.31
V 0.7503 0.2500 0.1591  6 O 2.10-2.14
O 0.7504 0.5646 0.1823  1 P 1.56
O 0.7494 0.2500 0.5592  1 C 1.28
C 0.7497 0.2500 0.4245  3 O 1.28-1.31
O 0.0522 0.7500 0.6498  1 C 1.31
K 0.7498 0.4907 0.8009  9 O 2.82-2.98
K 0.2497 0.2500 0.5688  6 O 2.67-2.79
O 0.5198 0.7500 0.9943  1 P 1.55
K 0.7503 0.7500 0.4312  6 O 2.67-2.79
O 0.5518 0.2500 0.3500  1 C 1.31
K 0.2502 0.5093 0.1991  9 O 2.82-2.98
O 0.2496 0.0646 0.8177  1 P 1.56
O 0.9478 0.2500 0.3502  1 C 1.31
O 0.7504 0.9354 0.1823  1 P 1.56
V 0.2497 0.7500 0.8409  6 O 2.10-2.14
O 0.4802 0.2500 0.0057  1 P 1.55
K 0.2502 0.9907 0.1991  9 O 2.82-2.98
O 0.9761 0.7500 0.9921  1 P 1.55
O 0.2496 0.4354 0.8177  1 P 1.56

Properties
V   13.799 A^3/atom
Energy   -6.9921 eV/atom
Formation energy from raw total energies   -1.976 eV/atom
Magnetization   0.23 μB/atom
SG   P2_1/m (11)